{"formula": "Li3Mn2Ni5O12", "functional": "PBE+U", "state": "optimized geometry", "crystal_system": "monoclinic", "e_tot_ev_per_atom": -5.469, "magnetic_moment_mub_per_atom": 0.05, "sg": "C2, No. 5", "lattice_angstrom": [[2.466, -4.409, 0.000], [2.466, 4.409, 0.000], [-1.832, 0.000, 9.640]], "species": ["Li", "Li", "Li", "Mn", "Mn", "Ni", "Ni", "Ni", "Ni", "Ni", "O", "O", "O", "O", "O", "O", "O", "O", "O", "O", "O", "O"], "fractional_positions": [[0.000, 0.000, 0.000], [0.411, 0.094, 0.247], [0.906, 0.589, 0.753], [0.336, 0.664, 0.000], [0.836, 0.164, 0.500], [0.084, 0.410, 0.246], [0.167, 0.833, 0.500], [0.501, 0.499, 0.500], [0.590, 0.916, 0.754], [0.660, 0.340, 0.000], [0.043, 0.676, 0.112], [0.140, 0.155, 0.388], [0.203, 0.530, 0.612], [0.324, 0.957, 0.888], [0.375, 0.386, 0.107], [0.470, 0.797, 0.388], [0.573, 0.205, 0.614], [0.614, 0.625, 0.893], [0.678, 0.061, 0.110], [0.795, 0.427, 0.386], [0.845, 0.860, 0.612], [0.939, 0.322, 0.890]]}